1.
DFT (PBE) results for a relaxed Dy4FeCl5 crystal.

Geometry as POSCAR:
```
Dy4FeCl5
1.0
9.257 -1.889 0.000
9.257 1.889 0.000
-0.046 0.000 8.627
Dy Fe Cl
4 1 5
direct
0.000 0.000 0.236
0.000 0.000 0.764
0.370 0.370 0.999
0.630 0.630 0.001
0.500 0.500 0.000
0.152 0.152 0.229
0.152 0.152 0.774
0.500 0.500 0.500
0.848 0.848 0.226
0.848 0.848 0.771
```

The value obtained for the formation energy without anion corrections is -1.484 eV per atom. As for the space group: No. 12. The value obtained for the density of states at the Fermi level is 3.01 states/eV/cell.

---

2.
DFT (PBE) results for a relaxed DyTlFe2Cl8 crystal.

Geometry as POSCAR:
```
DyTlFe2Cl8
1.0
3.236 1.868 9.598
-3.236 1.868 9.598
0.000 -3.737 9.598
Dy Tl Fe Cl
1 1 2 8
direct
0.000 0.000 0.000
0.500 0.500 0.500
0.252 0.252 0.252
0.748 0.748 0.748
0.061 0.383 0.719
0.175 0.175 0.175
0.281 0.939 0.617
0.383 0.719 0.061
0.617 0.281 0.939
0.719 0.061 0.383
0.825 0.825 0.825
0.939 0.617 0.281
```

The value obtained for the formation energy without anion corrections is -1.231 eV per atom. As for the space group: No. 148. The value obtained for the density of states at the Fermi level is 12.84 states/eV/cell.

---

3.
DFT (PBE) results for a relaxed Dy2GaCl crystal.

Geometry as POSCAR:
```
Dy2GaCl
1.0
3.684 0.000 0.000
-1.842 3.191 0.000
0.000 0.000 24.575
Dy Ga Cl
6 3 3
direct
0.000 0.000 0.248
0.000 0.000 0.752
0.333 0.667 0.419
0.333 0.667 0.914
0.667 0.333 0.086
0.667 0.333 0.581
0.000 0.000 0.500
0.333 0.667 0.167
0.667 0.333 0.833
0.000 0.000 0.000
0.333 0.667 0.667
0.667 0.333 0.333
```

The value obtained for the formation energy without anion corrections is -0.890 eV per atom. As for the space group: No. 166. The value obtained for the density of states at the Fermi level is 4.19 states/eV/cell. For the distance to the lowest polymorph of the same formula, the calculation gives 13 meV/atom.

---

4.
DFT (PBE) results for a relaxed DyGaCl4 crystal.

Geometry as POSCAR:
```
DyGaCl4
1.0
9.087 -2.038 0.000
9.087 2.038 0.000
-7.051 0.000 10.774
Dy Ga Cl
2 2 8
direct
0.000 0.500 0.000
0.500 0.000 0.500
0.248 0.752 0.750
0.752 0.248 0.250
0.048 0.548 0.663
0.160 0.659 0.050
0.341 0.840 0.450
0.452 0.952 0.837
0.548 0.048 0.163
0.659 0.160 0.550
0.840 0.341 0.950
0.952 0.452 0.337
```

The value obtained for the formation energy without anion corrections is -1.738 eV per atom. As for the space group: No. 15. The value obtained for the density of states at the Fermi level is 0.00 states/eV/cell.

---

5.
DFT (PBE) results for a relaxed Dy4GaCl5 crystal.

Geometry as POSCAR:
```
Dy4GaCl5
1.0
8.838 -1.980 0.000
8.838 1.980 0.000
-1.778 0.000 7.920
Dy Ga Cl
4 1 5
direct
0.001 0.001 0.237
0.344 0.344 0.914
0.656 0.656 0.086
0.999 0.999 0.763
0.500 0.500 0.000
0.166 0.166 0.324
0.174 0.174 0.852
0.500 0.500 0.500
0.826 0.826 0.148
0.834 0.834 0.676
```

The value obtained for the formation energy without anion corrections is -1.597 eV per atom. As for the space group: No. 12. The value obtained for the density of states at the Fermi level is 4.14 states/eV/cell.

---

6.
DFT (PBE) results for a relaxed Dy2GaCl crystal.

Geometry as POSCAR:
```
Dy2GaCl
1.0
3.618 0.000 0.000
-1.809 3.133 0.000
0.000 0.000 25.258
Dy Ga Cl
6 3 3
direct
0.000 0.000 0.000
0.000 0.000 0.171
0.333 0.667 0.667
0.333 0.667 0.837
0.667 0.333 0.333
0.667 0.333 0.504
0.000 0.000 0.585
0.333 0.667 0.252
0.667 0.333 0.919
0.000 0.000 0.417
0.333 0.667 0.083
0.667 0.333 0.750
```

The value obtained for the formation energy without anion corrections is -0.903 eV per atom. As for the space group: No. 160. The value obtained for the density of states at the Fermi level is 4.24 states/eV/cell. For the distance to the lowest polymorph of the same formula, the calculation gives 0 meV/atom.

---

7.
DFT (PBE) results for a relaxed DyGa2Cl8 crystal.

Geometry as POSCAR:
```
DyGa2Cl8
1.0
6.788 -4.270 0.000
6.788 4.270 0.000
-0.880 0.000 6.499
Dy Ga Cl
1 2 8
direct
0.000 0.000 0.000
0.184 0.184 0.642
0.816 0.816 0.358
0.107 0.708 0.225
0.164 0.164 0.278
0.292 0.893 0.775
0.342 0.342 0.756
0.658 0.658 0.244
0.708 0.107 0.225
0.836 0.836 0.722
0.893 0.292 0.775
```

The value obtained for the formation energy without anion corrections is -1.364 eV per atom. As for the space group: No. 12. The value obtained for the density of states at the Fermi level is 5.00 states/eV/cell.

---

8.
DFT (PBE) results for a relaxed DyGa3Cl6 crystal.

Geometry as POSCAR:
```
DyGa3Cl6
1.0
6.186 3.571 4.721
-6.186 3.571 4.721
0.000 -7.143 4.721
Dy Ga Cl
2 6 12
direct
0.000 0.000 0.000
0.500 0.500 0.500
0.083 0.417 0.750
0.250 0.917 0.583
0.417 0.750 0.083
0.583 0.250 0.917
0.750 0.083 0.417
0.917 0.583 0.250
0.050 0.700 0.944
0.056 0.950 0.300
0.200 0.550 0.444
0.300 0.056 0.950
0.444 0.200 0.550
0.450 0.556 0.800
0.550 0.444 0.200
0.556 0.800 0.450
0.700 0.944 0.050
0.800 0.450 0.556
0.944 0.050 0.700
0.950 0.300 0.056
```

The value obtained for the formation energy without anion corrections is -1.321 eV per atom. As for the space group: No. 167. The value obtained for the density of states at the Fermi level is 0.00 states/eV/cell.